Entry from Alexandria via LeMat-Bulk: a PBEsol-optimized structure of MnIn2Hg (meta-GGA SCAN).

Total moment = 4.0 μB/f.u.
SG = P4mm, No. 99
Total energy = -38.2591 eV/atom

Cell: 3.109 3.109 8.596 Å, 90.00 90.00 90.00°
Atoms (fractional coordinates):
Mn  0.000  0.000  0.000
In  0.000  0.000  0.488
In  0.500  0.500  0.792
Hg  0.500  0.500  0.207